This record from the Alexandria database describes UCrCuO6 after structural relaxation. The functional is PBE+U.

a = 5.2615 Å, b = 5.2615 Å, c = 8.7783 Å
α = 90.00°, β = 90.00°, γ = 120.00°
Positions (direct):
U: 0.3333 0.6667 0.2500
U: 0.6667 0.3333 0.7500
Cr: 0.6667 0.3333 0.2500
Cr: 0.3333 0.6667 0.7500
Cu: 0.0000 0.0000 0.0000
Cu: 0.0000 0.0000 0.5000
O: 0.6655 0.6521 0.1299
O: 0.9866 0.3345 0.1299
O: 0.3345 0.9866 0.6299
O: 0.0134 0.6655 0.8701
O: 0.3479 0.3345 0.3701
O: 0.9866 0.6521 0.3701
O: 0.6521 0.9866 0.8701
O: 0.6655 0.0134 0.3701
O: 0.0134 0.3479 0.6299
O: 0.3479 0.0134 0.1299
O: 0.6521 0.6655 0.6299
O: 0.3345 0.3479 0.8701

E, eV per atom: -7.75
Volume, A^3/atom: 11.69